# 1
Below is a relaxed SrVCu3Se4 crystal, with properties calculated at the PBE level.

ΔE_f (raw) ... -0.5572 eV/atom
DOS(E_F) ... 0.20 states/eV/atom
Space-group type ... No. 215

Cell lengths 6.0730, 6.0730, 6.0730 Å; angles 90.00, 90.00, 90.00 degrees
Sites, in units of the cell vectors:
Sr  0.5000  0.5000  0.5000
V  0.0000  0.0000  0.0000
Cu  0.0000  0.5000  0.0000
Cu  0.0000  0.0000  0.5000
Cu  0.5000  0.0000  0.0000
Se  0.2258  0.2258  0.2258
Se  0.7742  0.7742  0.2258
Se  0.2258  0.7742  0.7742
Se  0.7742  0.2258  0.7742

# 2
Below is a relaxed Sr2YCu2Se4 crystal, with properties calculated at the PBE level.

ΔE_f (raw) ... -1.2647 eV/atom
DOS(E_F) ... 0.47 states/eV/atom
Space-group type ... No. 12

Cell lengths 4.0420, 7.4968, 7.8040 Å; angles 110.24, 105.01, 90.00 degrees
Sites, in units of the cell vectors:
Sr  0.1344  0.5757  0.2687
Sr  0.8656  0.4243  0.7313
Y  0.0000  0.0000  0.0000
Cu  0.6875  0.9952  0.3749
Cu  0.3125  0.0048  0.6251
Se  0.2041  0.2112  0.4081
Se  0.7959  0.7888  0.5919
Se  0.5231  0.7454  0.0463
Se  0.4769  0.2546  0.9537

# 3
Below is a relaxed SrYCuSe3 crystal, with properties calculated at the PBE level.

ΔE_f (raw) ... -1.5497 eV/atom
Space-group type ... No. 11

Cell lengths 4.0932, 8.5758, 9.0872 Å; angles 103.89, 90.00, 90.00 degrees
Sites, in units of the cell vectors:
Sr  0.2500  0.1885  0.2412
Sr  0.7500  0.8115  0.7588
Y  0.2500  0.6746  0.1667
Y  0.7500  0.3254  0.8333
Cu  0.2500  0.0798  0.5836
Cu  0.7500  0.9202  0.4164
Se  0.7500  0.8993  0.1367
Se  0.2500  0.1007  0.8633
Se  0.2500  0.7775  0.4862
Se  0.7500  0.2225  0.5138
Se  0.7500  0.4372  0.1643
Se  0.2500  0.5628  0.8357

# 4
Below is a relaxed SrYCu2Se4 crystal, with properties calculated at the PBE level.

ΔE_f (raw) ... -1.0192 eV/atom
DOS(E_F) ... 0.40 states/eV/atom
Space-group type ... No. 121

Cell lengths 6.9718, 6.3872, 6.3872 Å; angles 66.20, 56.92, 56.92 degrees
Sites, in units of the cell vectors:
Sr  0.0000  0.0000  0.0000
Y  0.5000  0.5000  0.5000
Cu  0.2495  0.2505  0.2505
Cu  0.7505  0.7495  0.7495
Se  0.4917  0.0627  0.5080
Se  0.0625  0.9373  0.4920
Se  0.9375  0.5080  0.0627
Se  0.5083  0.4920  0.9373

# 5
Below is a relaxed Sr2ZrCuSe5 crystal, with properties calculated at the PBE level.

ΔE_f (raw) ... -1.3599 eV/atom
DOS(E_F) ... 0.37 states/eV/atom
Space-group type ... No. 36

Cell lengths 4.0134, 9.3259, 12.5992 Å; angles 90.00, 90.00, 102.43 degrees
Sites, in units of the cell vectors:
Sr  0.8812  0.7624  0.8295
Sr  0.1192  0.2383  0.6896
Sr  0.1188  0.2376  0.3295
Sr  0.8808  0.7617  0.1896
Zr  0.8055  0.6110  0.5192
Zr  0.1945  0.3890  0.0192
Cu  0.5680  0.1360  0.9345
Cu  0.4320  0.8640  0.4345
Se  0.3439  0.6878  0.0110
Se  0.6971  0.3942  0.8689
Se  0.5021  0.0043  0.7697
Se  0.2975  0.5950  0.6665
Se  0.9545  0.9090  0.5353
Se  0.6561  0.3122  0.5110
Se  0.3029  0.6058  0.3689
Se  0.4979  0.9957  0.2697
Se  0.7025  0.4050  0.1665
Se  0.0455  0.0910  0.0353

# 6
Below is a relaxed TaCu2Se crystal, with properties calculated at the PBE level.

ΔE_f (raw) ... 0.2318 eV/atom
DOS(E_F) ... 0.68 states/eV/atom
Space-group type ... No. 122

Cell lengths 7.1464, 7.1464, 5.6414 Å; angles 50.70, 50.70, 90.00 degrees
Sites, in units of the cell vectors:
Cu  0.6061  0.1250  0.2500
Cu  0.1439  0.6250  0.2500
Cu  0.3750  0.3939  0.7500
Cu  0.8750  0.8561  0.7500
Se  0.5000  0.5000  0.0000
Se  0.2500  0.7500  0.5000
Ta  0.0000  0.0000  0.0000
Ta  0.7500  0.2500  0.5000

Values of magnetic moment, in order: 1.99 0.00 0.00 0.00 0.00 0.00, all in μB/cell.